Ca4BiB3Pd12: relaxed, PBE-GGA.

Cell lengths 7.8389, 7.8389, 7.8389 Å; angles 109.47, 109.47, 109.47 degrees
With the nearest neighbours (Å) after each atom.
Positions (direct):
1 Pd 0.2857 0.0000 0.2857  1 B 1.94
2 Pd 0.5000 0.7500 0.2500  2 B 2.26
3 Pd 0.0000 0.7143 0.7143  1 B 1.94
4 Pd 0.7500 0.5000 0.2500  2 B 2.26
5 Pd 0.7500 0.2500 0.5000  2 B 2.26
6 Pd 0.2500 0.5000 0.7500  2 B 2.26
7 Pd 0.0000 0.2857 0.2857  1 B 1.94
8 Pd 0.2857 0.2857 0.0000  1 B 1.94
9 Pd 0.5000 0.2500 0.7500  2 B 2.26
10 Pd 0.7143 0.7143 0.0000  1 B 1.94
11 Pd 0.2500 0.7500 0.5000  2 B 2.26
12 Pd 0.7143 0.0000 0.7143  1 B 1.94
13 Ca 0.0000 0.0000 0.5000  12 Pd 3.20-3.22
14 Ca 0.5000 0.5000 0.5000  12 Pd 3.20-3.22
15 Ca 0.0000 0.5000 0.0000  12 Pd 3.20-3.22
16 Ca 0.5000 0.0000 0.0000  12 Pd 3.20-3.22
17 Bi 0.0000 0.0000 0.0000  6 Pd 2.59
18 B 0.5000 0.5000 0.0000  2 Pd 1.94
19 B 0.5000 0.0000 0.5000  2 Pd 1.94
20 B 0.0000 0.5000 0.5000  2 Pd 1.94

Values from the calculation:
energy of formation from the pure elements	-422.2	meV/atom



CuHgIN2: relaxed, PBE-GGA.

Cell lengths 4.0669, 4.0669, 6.5710 Å; angles 90.00, 90.00, 90.00 degrees
With the nearest neighbours (Å) after each atom.
Positions (direct):
1 N 0.5000 0.0000 0.0000  2 Cu 2.03
2 N 0.0000 0.5000 0.0000  2 Cu 2.03
3 Cu 0.0000 0.0000 0.0000  4 N 2.03
4 I 0.0000 0.0000 0.5000  4 Hg 2.88
5 Hg 0.5000 0.5000 0.5000  4 I 2.88

Values from the calculation:
energy relative to the elements, uncorrected	1.515	eV/atom



Np2GaOs: relaxed, PBE-GGA.

Cell lengths 4.2272, 4.2126, 4.2126 Å; angles 90.00, 90.00, 90.00 degrees
With the nearest neighbours (Å) after each atom.
Positions (direct):
1 Np 0.0000 0.0000 0.5000  4 Np 2.98, 4 Os 2.98, 4 Ga 2.98
2 Np 0.0000 0.5000 0.0000  4 Np 2.98, 4 Ga 2.98, 4 Os 2.98
3 Ga 0.5000 0.5000 0.5000  4 Os 2.98, 8 Np 2.98
4 Os 0.5000 0.0000 0.0000  4 Ga 2.98, 8 Np 2.98

Values from the calculation:
energy of formation from the pure elements	50.6	meV/atom



TbHo4Bi5: relaxed, PBE-GGA.

Cell lengths 4.4645, 6.3094, 11.8075 Å; angles 105.50, 100.90, 90.00 degrees
With the nearest neighbours (Å) after each atom.
Positions (direct):
1 Ho 0.7996 0.7996 0.5991  6 Bi 3.15
2 Ho 0.5999 0.5999 0.1999  6 Bi 3.15-3.16
3 Ho 0.4001 0.4001 0.8001  6 Bi 3.15-3.16
4 Ho 0.2004 0.2004 0.4009  6 Bi 3.15
5 Tb 0.0000 0.0000 0.0000  6 Bi 3.15-3.17
6 Bi 0.1998 0.6998 0.3996  6 Ho 3.15
7 Bi 0.3991 0.8991 0.7983  4 Ho 3.15, 2 Tb 3.17
8 Bi 0.0000 0.5000 0.0000  2 Tb 3.15, 4 Ho 3.16
9 Bi 0.8002 0.3002 0.6004  6 Ho 3.15
10 Bi 0.6009 0.1009 0.2017  4 Ho 3.15, 2 Tb 3.17

Values from the calculation:
energy of formation from the pure elements	-845.6	meV/atom



Ac2CeMg: relaxed, PBE-GGA.

Cell lengths 3.9131, 6.0500, 6.0500 Å; angles 90.00, 90.00, 90.00 degrees
With the nearest neighbours (Å) after each atom.
Positions (direct):
1 Ac 0.0000 0.0000 0.5000  4 Ce 3.60, 4 Mg 3.60, 2 Ac 3.91
2 Ac 0.0000 0.5000 0.0000  4 Ce 3.60, 4 Mg 3.60, 2 Ac 3.91
3 Mg 0.5000 0.0000 0.0000  8 Ac 3.60, 2 Mg 3.91
4 Ce 0.5000 0.5000 0.5000  8 Ac 3.60, 2 Ce 3.91

Values from the calculation:
energy of formation from the pure elements	92.8	meV/atom



KMn2Ni: relaxed, PBE-GGA.

Cell lengths 4.7502, 4.7502, 4.7502 Å; angles 60.00, 60.00, 60.00 degrees
With the nearest neighbours (Å) after each atom.
Positions (direct):
1 K 0.5000 0.5000 0.5000  4 Ni 2.91, 4 Mn 2.91
2 Mn 0.0000 0.0000 0.0000  4 Mn 2.91, 4 Ni 2.91
3 Mn 0.2500 0.2500 0.2500  4 K 2.91, 4 Mn 2.91
4 Ni 0.7500 0.7500 0.7500  4 K 2.91, 4 Mn 2.91

Values from the calculation:
energy of formation from the pure elements	1159.8	meV/atom